[1]
A relaxed structure of Li2La2Au, computed with PBE.

The formation energy comes out at -0.184 eV per atom. The magnetization comes out at 0.000 Bohr magnetons per cell.

It has space group I4/mmm (No. 139), with a = 3.724 Å, b = 3.724 Å, c = 19.697 Å, α = 90.00°, β = 90.00° and γ = 90.00°. The inequivalent atoms are Li at (0.000, 0.500, 0.250), La at (0.000, 0.000, 0.094) and Au at (0.000, 0.000, 0.500).

***

[2]
A relaxed structure of Pr4Hg2S, computed with PBE.

The magnetization comes out at 0.000 Bohr magnetons per cell. The calculation puts the formation energy from raw total energies at -5.79 eV per formula unit.

It has space group C2/m (No. 12), with a = 13.262 Å, b = 4.166 Å, c = 9.062 Å, α = 90.00°, β = 123.02° and γ = 90.00°. The inequivalent atoms are Pr at (0.088, 0.000, 0.368), Pr at (0.165, 0.500, 0.076), Hg at (0.126, 0.500, 0.677) and S at (0.000, 0.000, 0.000).

***

no.,ρ (g/cm³)
1,5.941
2,7.886